Density functional theory data (meta-GGA SCAN) for a crystal of Sm4Al2O9 relaxed with PBEsol.

Output
Total magnetization, μB/f.u.: 0.00
Electronic total energy, eV/cell: -1217.65

Cell lengths 7.5759, 10.6914, 11.2254 Å; angles 90.00, 109.10, 90.00 degrees
Closest atoms and distances in Å follow each position.
Element x y z (fractional)
Sm 0.0238 0.1045 0.2856  7 O 2.28-2.51
Sm 0.0238 0.3955 0.7856  7 O 2.28-2.51
Sm 0.1659 0.6245 0.5689  5 O 2.29-2.41
Sm 0.1659 0.8755 0.0689  5 O 2.29-2.41
Sm 0.3348 0.1208 0.9107  6 O 2.32-2.41
Sm 0.3348 0.3792 0.4107  6 O 2.32-2.41
Sm 0.4749 0.5883 0.1905  6 O 2.26-2.40
Sm 0.4749 0.9117 0.6905  6 O 2.26-2.40
Sm 0.5251 0.0883 0.3095  6 O 2.26-2.40
Sm 0.5251 0.4117 0.8095  6 O 2.26-2.40
Sm 0.6652 0.6208 0.5893  6 O 2.32-2.41
Sm 0.6652 0.8792 0.0893  6 O 2.32-2.41
Sm 0.8341 0.1245 0.9311  5 O 2.29-2.41
Sm 0.8341 0.3755 0.4311  5 O 2.29-2.41
Sm 0.9762 0.6045 0.2144  7 O 2.28-2.51
Sm 0.9762 0.8955 0.7144  7 O 2.28-2.51
Al 0.1534 0.1867 0.6169  4 O 1.75-1.77
Al 0.1534 0.3133 0.1169  4 O 1.75-1.77
Al 0.2802 0.6888 0.8722  4 O 1.75-1.77
Al 0.2802 0.8112 0.3722  4 O 1.75-1.77
Al 0.7198 0.1888 0.6278  4 O 1.75-1.77
Al 0.7198 0.3112 0.1278  4 O 1.75-1.77
Al 0.8466 0.6867 0.8831  4 O 1.75-1.77
Al 0.8466 0.8133 0.3831  4 O 1.75-1.77
O 0.0661 0.0089 0.8959  4 Sm 2.28-2.33
O 0.0661 0.4911 0.3959  4 Sm 2.28-2.33
O 0.0668 0.7435 0.8847  2 Al 1.77
O 0.0668 0.7565 0.3847  2 Al 1.77
O 0.1406 0.2289 0.4638  1 Al 1.75
O 0.1406 0.2711 0.9638  1 Al 1.75
O 0.2019 0.0327 0.6744  1 Al 1.76
O 0.2019 0.4673 0.1744  1 Al 1.76
O 0.2675 0.7272 0.2338  1 Al 1.77
O 0.2675 0.7728 0.7338  1 Al 1.77
O 0.2834 0.5298 0.8378  1 Al 1.75
O 0.2834 0.9702 0.3378  1 Al 1.75
O 0.2842 0.2240 0.2474  1 Al 1.76
O 0.2842 0.2760 0.7474  1 Al 1.76
O 0.4225 0.0055 0.1060  4 Sm 2.31-2.41
O 0.4225 0.4945 0.6060  4 Sm 2.31-2.41
O 0.4240 0.7352 0.0215  1 Al 1.75
O 0.4240 0.7648 0.5215  1 Al 1.75
O 0.5760 0.2352 0.4785  1 Al 1.75
O 0.5760 0.2648 0.9785  1 Al 1.75
O 0.5775 0.5055 0.3940  4 Sm 2.31-2.41
O 0.5775 0.9945 0.8940  4 Sm 2.31-2.41
O 0.7158 0.7240 0.2526  1 Al 1.76
O 0.7158 0.7760 0.7526  1 Al 1.76
O 0.7166 0.0298 0.6622  1 Al 1.75
O 0.7166 0.4702 0.1622  1 Al 1.75
O 0.7325 0.2272 0.2662  1 Al 1.77
O 0.7325 0.2728 0.7662  1 Al 1.77
O 0.7981 0.5327 0.8256  1 Al 1.76
O 0.7981 0.9673 0.3256  1 Al 1.76
O 0.8594 0.7289 0.0362  1 Al 1.75
O 0.8594 0.7711 0.5362  1 Al 1.75
O 0.9332 0.2435 0.6153  2 Al 1.77
O 0.9332 0.2565 0.1153  2 Al 1.77
O 0.9339 0.5089 0.6041  4 Sm 2.28-2.33
O 0.9339 0.9911 0.1041  4 Sm 2.28-2.33

Density functional theory data (meta-GGA SCAN) for a crystal of SrSmAlO4 relaxed with PBEsol.

Output
Total magnetization, μB/f.u.: 0.00
Electronic total energy, eV/cell: -123.82

Cell lengths 6.6497, 6.6497, 6.6497 Å; angles 147.63, 147.63, 46.42 degrees
Closest atoms and distances in Å follow each position.
Element x y z (fractional)
Sr 0.0000 0.0000 0.0000  9 O 2.38-2.64
Sm 0.2846 0.2846 0.0000  5 O 2.35-2.46
Al 0.6414 0.6414 0.0000  6 O 1.86-2.02
O 0.1516 0.6516 0.5000  2 Al 1.86
O 0.4765 0.4765 0.0000  1 Al 2.02
O 0.6516 0.1516 0.5000  2 Al 1.86
O 0.8056 0.8056 0.0000  1 Al 2.01

Density functional theory data (meta-GGA SCAN) for a crystal of SrSmAl3O7 relaxed with PBEsol.

Output
Total magnetization, μB/f.u.: 0.00
Electronic total energy, eV/cell: -350.64

Cell lengths 7.8162, 7.8162, 5.1439 Å; angles 90.00, 90.00, 90.40 degrees
Closest atoms and distances in Å follow each position.
Element x y z (fractional)
Sr 0.1611 0.8389 0.0000  6 O 2.53-2.67
Sr 0.8389 0.1611 0.0000  6 O 2.53-2.67
Sm 0.3400 0.3400 0.0240  6 O 2.31-2.46
Sm 0.6600 0.6600 0.0240  6 O 2.31-2.46
Al 0.0000 0.5000 0.5058  4 O 1.75-1.78
Al 0.1474 0.1474 0.4705  4 O 1.73-1.78
Al 0.3589 0.6411 0.5491  4 O 1.75-1.77
Al 0.5000 0.0000 0.5058  4 O 1.75-1.78
Al 0.6411 0.3589 0.5491  4 O 1.75-1.77
Al 0.8526 0.8526 0.4705  4 O 1.73-1.78
O 0.0000 0.0000 0.3494  2 Al 1.74
O 0.0959 0.3413 0.3073  2 Al 1.78
O 0.1562 0.1562 0.8069  1 Al 1.73
O 0.1652 0.5828 0.7008  2 Al 1.75-1.76
O 0.3413 0.0959 0.3073  2 Al 1.78
O 0.3716 0.6284 0.2106  1 Al 1.75
O 0.4172 0.8348 0.7008  2 Al 1.75-1.76
O 0.5000 0.5000 0.7080  2 Al 1.77
O 0.5828 0.1652 0.7008  2 Al 1.75-1.76
O 0.6284 0.3716 0.2106  1 Al 1.75
O 0.6587 0.9041 0.3073  2 Al 1.78
O 0.8348 0.4172 0.7008  2 Al 1.75-1.76
O 0.8438 0.8438 0.8069  1 Al 1.73
O 0.9041 0.6587 0.3073  2 Al 1.78

Density functional theory data (meta-GGA SCAN) for a crystal of AlSnO3 relaxed with PBEsol.

Output
Total magnetization, μB/f.u.: 0.00
Electronic total energy, eV/cell: -141.90

Cell lengths 3.3989, 3.3989, 12.2704 Å; angles 90.00, 90.00, 120.00 degrees
Closest atoms and distances in Å follow each position.
Element x y z (fractional)
Al 0.0000 0.0000 0.0000  6 O 2.13
Al 0.0000 0.0000 0.5000  6 O 2.13
Sn 0.3333 0.6667 0.2500  3 O 1.96
Sn 0.6667 0.3333 0.7500  3 O 1.96
O 0.0000 0.0000 0.2500  3 Sn 1.96
O 0.0000 0.0000 0.7500  3 Sn 1.96
O 0.3333 0.6667 0.0685  3 Al 2.13, 1 Sn 2.23
O 0.3333 0.6667 0.4315  3 Al 2.13, 1 Sn 2.23
O 0.6667 0.3333 0.5685  3 Al 2.13, 1 Sn 2.23
O 0.6667 0.3333 0.9315  3 Al 2.13, 1 Sn 2.23

> The lowest electronic total energy belongs to which entry?

Sm4Al2O9

> What is the total magnetization in the first record?

0.00 μB/f.u.

> What is the formula in the second record?

SrSmAlO4